1.
Material: BaSrLaWO6
Method: DFT, PBE with a Hubbard U
State: optimized geometry

The energy above the most stable polymorph in this dataset comes out at 125 meV per atom. For the volume, the calculation gives 16.4 Å³/atom. The electronic total energy is -7.22 eV/atom. For the density of states at the Fermi level, the calculation gives 9.17 states/eV per cell.

Lattice parameters (Å, degrees): 8.6931 8.6931 8.6931 90.00 90.00 90.00
Last column: nearest neighbours and their distance in Å.
Space group F-43m (No. 216)
Unique sites:
1 Ba 0.0000 0.0000 0.0000 (multiplicity 4)  12 O 3.08
2 Sr 0.0000 0.0000 0.5000 (multiplicity 4)  12 O 3.08
3 La 0.2500 0.2500 0.2500 (multiplicity 4)  6 O 2.35
4 W 0.2500 0.2500 0.7500 (multiplicity 4)  6 O 2.00
5 O 0.0204 0.2500 0.7500 (multiplicity 24)  1 W 2.00

=====

2.
Material: BaSrLaWO6
Method: DFT, PBE with a Hubbard U
State: optimized geometry

The energy above the most stable polymorph in this dataset comes out at 0 meV per atom. For the volume, the calculation gives 16.1 Å³/atom. The electronic total energy is -7.34 eV/atom. For the density of states at the Fermi level, the calculation gives 0.00 states/eV per cell.

Lattice parameters (Å, degrees): 6.0677 6.1087 8.6739 89.79 89.47 90.00
Last column: nearest neighbours and their distance in Å.
Space group P-1 (No. 2)
Unique sites:
1 Ba 0.0039 0.0291 0.2519 (multiplicity 2)  8 O 2.70-3.00
2 Sr 0.4978 0.5354 0.2462 (multiplicity 2)  4 O 2.55-2.64
3 La 0.0000 0.5000 0.0000 (multiplicity 1)  6 O 2.39-2.42
4 La 0.5000 0.0000 0.5000 (multiplicity 1)  6 O 2.35-2.46
5 W 0.0000 0.5000 0.5000 (multiplicity 1)  6 O 1.98-2.07
6 W 0.5000 0.0000 0.0000 (multiplicity 1)  6 O 1.96-2.08
7 O 0.0852 0.5014 0.7302 (multiplicity 2)  1 W 2.07
8 O 0.1924 0.7713 0.4667 (multiplicity 2)  1 W 2.05
9 O 0.2359 0.8170 0.0258 (multiplicity 2)  1 W 1.96
10 O 0.2625 0.3187 0.4533 (multiplicity 2)  1 W 1.98
11 O 0.3167 0.2792 0.0472 (multiplicity 2)  1 W 2.08
12 O 0.4371 0.0435 0.7690 (multiplicity 2)  1 W 2.06

=====

Which of these has the highest electronic total energy? number 1

=====

electronic total energy of number 1 (BaSrLaWO6)? -7.22 eV/atom

=====

Look up the electronic total energy of the second one. -7.34 eV/atom

=====

What is the electronic total energy in the first record? -7.22 eV/atom